Entry 1:
Below is LaNp2Pd9 after structural relaxation, with properties calculated at the PBE level.

a b c (Å): 4.169 4.169 12.518
angles (deg): 90.00 90.00 90.00
Site moments in Bohr magnetons follow the coordinates.
Fractional positions:
La  0.000  0.000  0.000  -0.02
Pd  0.000  0.500  0.174  -0.03
Pd  0.500  0.000  0.174  -0.03
Pd  0.500  0.000  0.826  -0.03
Pd  0.500  0.500  0.664  -0.05
Pd  0.000  0.500  0.500  -0.05
Pd  0.500  0.000  0.500  -0.05
Pd  0.500  0.500  0.000  -0.02
Pd  0.000  0.500  0.826  -0.03
Pd  0.500  0.500  0.336  -0.05
Np  0.000  0.000  0.665  3.37
Np  0.000  0.000  0.335  3.37

Summary:
**Formation enthalpy at 0 K**: -0.567 eV per atom
**DOS(E_F)**: 2.08 states/eV per atom

Entry 2:
Below is TcSb2Pt after structural relaxation, with properties calculated at the PBE level.

a b c (Å): 5.978 5.978 7.346
angles (deg): 65.99 65.99 90.00
Fractional positions:
Pt  0.750  0.250  0.500
Pt  0.000  0.000  0.000
Tc  0.500  0.500  0.000
Tc  0.250  0.750  0.500
Sb  0.619  0.125  0.250
Sb  0.131  0.625  0.250
Sb  0.875  0.869  0.750
Sb  0.375  0.381  0.750

Summary:
**ΔE_f (raw)**: 0.3164 eV/atom
**E above lowest polymorph**: 386.5 meV/atom
**DOS(E_F)**: 0.65 states/eV per atom

Entry 3:
Below is ScCrNi after structural relaxation, with properties calculated at the PBE level.

a b c (Å): 4.285 4.285 4.285
angles (deg): 60.00 60.00 60.00
Site moments in Bohr magnetons follow the coordinates.
Fractional positions:
Ni  0.500  0.500  0.500  0.14
Cr  0.000  0.000  0.000  3.49
Sc  0.250  0.250  0.250  0.13

Summary:
**E above lowest polymorph**: 619.0 meV/atom
**Formation enthalpy at 0 K**: 0.712 eV per atom
**DOS(E_F)**: 1.02 states/eV per atom

Number 1: total magnetization 6.479 μB/cell, calculated volume 217.5 Å³ per cell. Number 2: total magnetization 0.000 μB/cell, calculated volume 214.7 Å³ per cell. Number 3: total magnetization 4.116 μB/cell, calculated volume 55.6 Å³ per cell.